DFT (GGA-PBEsol) results for NbAlNiBr2 after structural relaxation.

Size of the total moment, μB/cell: 0.000
Electronic total energy, eV for the cell shown: -21.36
Energy relative to the elements, uncorrected, meV/atom: 689

Unit cell a=4.619 b=4.619 c=4.926 alpha=90.00 beta=90.00 gamma=90.00
Element x y z (fractional)
Nb  0.000  0.000  0.000
Al  0.500  0.500  0.000
Ni  0.000  0.000  0.500
Br  0.000  0.500  0.500
Br  0.500  0.000  0.500